#A
DFT (PBEsol) results for MnRe2Cl after structural relaxation.

Cell: 2.9247 2.9247 7.1802 Å, 90.00 90.00 90.00°
Last column: nearest neighbours and their distance in Å.
Positions (direct):
Mn 0.0000 0.0000 0.0000  4 Re 2.76, 4 Cl 2.77, 4 Mn 2.92
Re 0.0000 0.0000 0.4644  4 Re 2.56
Re 0.5000 0.5000 0.2538  4 Re 2.56, 4 Mn 2.76
Cl 0.5000 0.5000 0.7435  4 Mn 2.77, 4 Re 2.88, 4 Cl 2.92

Results
**Calculated volume**: 15.35 Å³/atom
**Symmetry**: P4mm (99)

---

#B
DFT (PBEsol) results for MnRe2Cl after structural relaxation.

Cell: 2.8858 2.8858 6.4638 Å, 90.00 90.00 90.00°
Last column: nearest neighbours and their distance in Å.
Positions (direct):
Mn 0.0000 0.0000 0.0000  8 Re 2.52
Re 0.5000 0.5000 0.2285  4 Mn 2.52, 4 Cl 2.69
Re 0.5000 0.5000 0.7715  4 Mn 2.52, 4 Cl 2.69
Cl 0.0000 0.0000 0.5000  8 Re 2.69, 4 Cl 2.89

Results
**Calculated volume**: 13.46 Å³/atom
**Symmetry**: P4/mmm (123)

---

Among the structures above, stability is smallest for #B.